MnCI2O | PBE with a Hubbard U | optimized geometry

Cell lengths 5.482, 5.482, 3.499 Å; angles 90.00, 90.00, 90.00 degrees
Last column: magnetic moment on the atom in μB.
Sites, in units of the cell vectors:
I 0.500 0.000 0.000  -0.10
I 0.000 0.500 0.000  -0.10
O 0.000 0.000 0.500  0.00
Mn 0.000 0.000 0.000  0.39
C 0.500 0.500 0.500  0.72

Calculated values
E above lowest polymorph	0.532	eV/atom
SG	No. 123
electronic total energy	-3.4406	eV per atom
N(E_F)	3.4	states/eV/cell
total moment	1.610	μB/f.u.